Record 1
Crystalline AcTl2Pd at its relaxed geometry, computed with PBE.

Structure (POSCAR):
```
AcTl2Pd
1.0
5.330 0.000 0.000
2.665 4.616 0.000
2.665 1.539 4.352
Ac Tl Pd
1 2 1
Cartesian
0.000 0.000 0.000
2.665 1.539 1.088
7.995 4.616 3.264
5.330 3.077 2.176
```

Results
Energy relative to the lowest polymorph listed for this composition (meV per atom): 202


Record 2
Crystalline AcTl4Pd15 at its relaxed geometry, computed with PBE.

Structure (POSCAR):
```
AcTl4Pd15
1.0
-3.488 -0.977 -2.096
-1.717 -1.445 3.532
-7.463 18.337 3.871
Ac Tl Pd
1 4 15
Cartesian
0.000 0.000 0.000
-1.554 3.819 0.806
-3.003 7.379 1.558
-4.459 10.957 2.313
-5.908 14.518 3.065
-2.603 -1.211 0.718
-4.146 2.581 1.519
-5.608 6.174 2.277
-7.060 9.741 3.031
-8.522 13.333 3.789
-2.563 1.522 -0.623
-4.022 5.109 0.134
-5.475 8.680 0.888
-6.928 12.250 1.642
-8.388 15.837 2.399
-1.677 1.288 2.191
-3.137 4.876 2.948
-4.590 8.446 3.702
-6.043 12.016 4.456
-7.503 15.604 5.213
```


Record 3
Crystalline Ac3Tl2Pd at its relaxed geometry, computed with PBE.

Structure (POSCAR):
```
Ac3Tl2Pd
1.0
5.764 0.000 0.000
0.000 8.108 0.983
-2.882 -1.073 8.875
Ac Tl Pd
6 4 2
Cartesian
2.881 2.027 0.246
2.883 6.081 0.737
0.000 7.812 3.409
2.881 3.276 6.940
0.000 3.758 2.918
2.882 -0.777 6.449
2.882 5.663 4.180
2.882 1.609 3.689
0.000 5.426 6.169
0.000 1.372 5.677
0.001 6.081 0.737
5.763 2.027 0.246
```


Record 4
Crystalline AcTl2Pd5 at its relaxed geometry, computed with PBE.

Structure (POSCAR):
```
AcTl2Pd5
1.0
4.398 0.000 0.000
2.199 7.046 1.485
2.199 3.536 6.272
Ac Tl Pd
1 2 5
Cartesian
0.000 0.000 0.000
6.596 7.576 5.554
2.199 3.005 2.203
2.199 5.291 3.879
4.398 4.953 1.905
4.398 5.628 5.852
4.398 7.274 3.607
4.398 3.307 4.150
```


Record 5
Crystalline Ac2Tl3Pd4 at its relaxed geometry, computed with PBE.

Structure (POSCAR):
```
Ac2Tl3Pd4
1.0
6.311 0.000 0.000
0.000 7.637 0.000
-3.156 0.000 8.957
Ac Tl Pd
4 6 8
Cartesian
0.000 4.444 1.891
3.156 3.193 7.065
0.000 0.626 7.065
3.156 7.011 1.891
0.000 0.000 0.000
3.156 3.818 0.000
1.578 5.727 4.748
4.733 1.909 4.209
1.578 1.909 4.209
-1.578 5.727 4.748
1.578 5.727 7.652
4.733 1.909 1.305
1.578 1.909 1.305
-1.578 5.727 7.652
0.000 7.467 2.865
3.156 0.169 6.092
0.000 3.649 6.092
3.156 3.988 2.865
```


Record 6
Crystalline Ac2Tl2Pd3 at its relaxed geometry, computed with PBE.

Structure (POSCAR):
```
Ac2Tl2Pd3
1.0
4.604 0.000 0.000
0.000 5.582 1.069
-2.302 -0.512 7.302
Ac Tl Pd
2 2 3
Cartesian
0.000 0.305 5.389
2.302 4.766 2.982
0.000 2.002 1.976
2.302 3.069 6.395
0.000 0.000 0.000
0.000 3.338 4.582
2.302 1.733 3.789
```

Results
Energy relative to the lowest polymorph listed for this composition (meV per atom): 34


Record 7
Crystalline AcTl2Pd2 at its relaxed geometry, computed with PBE.

Structure (POSCAR):
```
AcTl2Pd2
1.0
7.723 -0.745 0.165
-3.321 7.013 0.165
-2.018 -2.873 4.632
Ac Tl Pd
2 4 4
Cartesian
2.750 1.871 3.722
-0.365 1.524 1.241
-2.215 4.378 2.286
-1.661 1.844 4.602
4.599 -0.983 2.677
4.046 1.551 0.361
-0.329 -0.647 3.557
2.062 -0.181 1.241
0.322 3.576 3.722
2.713 4.042 1.406
```

Results
Energy relative to the lowest polymorph listed for this composition (meV per atom): 49


Record 8
Crystalline Ac2TlPd9 at its relaxed geometry, computed with PBE.

Structure (POSCAR):
```
Ac2TlPd9
1.0
4.291 0.000 0.000
0.000 4.291 0.000
0.000 0.000 12.451
Ac Tl Pd
2 1 9
Cartesian
0.000 0.000 4.048
0.000 0.000 8.403
0.000 0.000 0.000
2.145 2.145 0.000
2.145 2.145 4.073
2.145 2.145 8.378
2.145 0.000 1.908
2.145 0.000 6.226
2.145 0.000 10.543
0.000 2.145 1.908
0.000 2.145 6.226
0.000 2.145 10.543
```

Results
Energy relative to the lowest polymorph listed for this composition (meV per atom): 0


Record 9
Crystalline AcTlPd4 at its relaxed geometry, computed with PBE.

Structure (POSCAR):
```
AcTlPd4
1.0
-4.547 -2.424 -2.096
-0.018 -5.469 -1.018
-3.046 -3.409 3.169
Ac Tl Pd
1 1 4
Cartesian
-1.903 -2.826 0.014
0.000 0.000 0.000
-3.231 -5.358 -1.559
-4.753 -4.322 0.547
-4.762 -7.072 0.035
-2.476 -5.853 1.089
```


Record 10
Crystalline Ac3TlPd3 at its relaxed geometry, computed with PBE.

Structure (POSCAR):
```
Ac3TlPd3
1.0
6.074 0.000 0.000
0.000 9.365 0.000
0.000 -4.682 8.110
Ac Tl Pd
6 2 6
Cartesian
4.556 3.456 5.278
4.556 3.066 0.354
4.556 7.525 2.478
1.519 1.226 2.832
1.519 1.616 7.756
1.519 -2.843 5.632
1.519 4.682 2.703
4.556 0.000 5.407
1.519 3.370 5.190
1.519 3.185 0.323
1.519 7.493 2.597
4.556 1.313 2.920
4.556 1.497 7.787
4.556 -2.810 5.513
```


Number 1: M_tot 0.0 μB/cell, formation energy -24 kJ/mol of atoms, energy -0.138 hartree per atom. Number 2: M_tot 0.0 μB/cell, formation energy -28 kJ/mol of atoms, energy -0.179 hartree per atom. Number 3: M_tot 0.0 μB/cell, formation energy -40 kJ/mol of atoms, energy -0.152 hartree per atom. Number 4: M_tot 0.0 μB/cell, formation energy -42 kJ/mol of atoms, energy -0.176 hartree per atom. Number 5: M_tot 0.0 μB/cell, formation energy -50 kJ/mol of atoms, energy -0.166 hartree per atom. Number 6: M_tot 0.0 μB/cell, formation energy -55 kJ/mol of atoms, energy -0.171 hartree per atom. Number 7: M_tot 0.0 μB/cell, formation energy -39 kJ/mol of atoms, energy -0.156 hartree per atom. Number 8: M_tot 0.0 μB/cell, formation energy -53 kJ/mol of atoms, energy -0.196 hartree per atom. Number 9: M_tot 0.0 μB/cell, formation energy -57 kJ/mol of atoms, energy -0.189 hartree per atom. Number 10: M_tot 0.0 μB/cell, formation energy -55 kJ/mol of atoms, energy -0.180 hartree per atom.